Record 1
# NaReW

An optimized crystal structure of NaReW (GGA-PBE, the Alexandria database).

Its energy of formation is 489 meV/atom. As for the excess energy over the best structure of this formula in the dataset: 59.0 meV per atom. The raw total energy comes out at -8.42 eV per atom.

abc: 2.719 4.491 9.307
angles: 90.00 94.37 90.00
Element x y z (fractional)
Na (0.194, 0.250, 0.400)
Na (0.806, 0.750, 0.600)
Re (0.478, 0.250, 0.813)
Re (0.522, 0.750, 0.187)
W (0.165, 0.750, 0.919)
W (0.835, 0.250, 0.081)

***

Record 2
# MoIr2Rh

An optimized crystal structure of MoIr2Rh (GGA-PBE, the Alexandria database).

Its energy of formation is -188 meV/atom. As for the excess energy over the best structure of this formula in the dataset: 57.0 meV per atom. The raw total energy comes out at -9.16 eV per atom.

abc: 2.741 3.898 5.503
angles: 90.00 90.00 90.00
Element x y z (fractional)
Mo (0.000, 0.000, 0.000)
Ir (0.500, 0.500, 0.251)
Ir (0.500, 0.500, 0.749)
Rh (0.000, 0.000, 0.500)

***

Record 3
# Ta2InAs

An optimized crystal structure of Ta2InAs (GGA-PBE, the Alexandria database).

Its energy of formation is 100 meV/atom. As for the excess energy over the best structure of this formula in the dataset: 125.4 meV per atom. The raw total energy comes out at -7.67 eV per atom.

abc: 3.391 4.941 8.877
angles: 90.00 90.00 90.00
Element x y z (fractional)
Ta (0.000, 0.000, 0.229)
Ta (0.000, 0.000, 0.771)
Ta (0.500, 0.500, 0.271)
Ta (0.500, 0.500, 0.729)
In (0.000, 0.500, 0.000)
In (0.500, 0.000, 0.500)
As (0.000, 0.500, 0.500)
As (0.500, 0.000, 0.000)

***

Record 4
# CaPm2Tl

An optimized crystal structure of CaPm2Tl (GGA-PBE, the Alexandria database).

Its energy of formation is -135 meV/atom. As for the excess energy over the best structure of this formula in the dataset: 50.5 meV per atom. The raw total energy comes out at -3.60 eV per atom.

abc: 5.633 7.058 6.270
angles: 90.00 90.02 90.00
Element x y z (fractional)
Ca (0.249, 0.250, 0.352)
Ca (0.751, 0.750, 0.648)
Pm (0.250, 0.005, 0.826)
Pm (0.250, 0.495, 0.826)
Pm (0.750, 0.505, 0.174)
Pm (0.750, 0.995, 0.174)
Tl (0.250, 0.750, 0.328)
Tl (0.750, 0.250, 0.672)

***

Record 5
# SmInCo2

An optimized crystal structure of SmInCo2 (GGA-PBE, the Alexandria database).

Its energy of formation is -223 meV/atom. The raw total energy comes out at -5.64 eV per atom.

abc: 5.105 4.024 7.256
angles: 90.00 90.00 90.00
Element x y z (fractional)
Sm (0.250, 0.000, 0.216)
Sm (0.750, 0.000, 0.784)
In (0.250, 0.500, 0.842)
In (0.750, 0.500, 0.158)
Co (0.000, 0.500, 0.500)
Co (0.250, 0.000, 0.585)
Co (0.500, 0.500, 0.500)
Co (0.750, 0.000, 0.415)

***

Record 6
# KLiAsPt

An optimized crystal structure of KLiAsPt (GGA-PBE, the Alexandria database).

Its energy of formation is -558 meV/atom. The raw total energy comes out at -3.98 eV per atom.

abc: 7.516 4.351 6.434
angles: 90.00 112.89 90.00
Element x y z (fractional)
K (0.000, 0.000, 0.000)
K (0.500, 0.500, 0.000)
Li (0.316, 0.500, 0.450)
Li (0.816, 0.000, 0.450)
As (0.027, 0.500, 0.580)
As (0.527, 0.000, 0.580)
Pt (0.190, 0.000, 0.572)
Pt (0.690, 0.500, 0.572)

***

Record 7
# SrTl6Cl8

An optimized crystal structure of SrTl6Cl8 (GGA-PBE, the Alexandria database).

The raw total energy comes out at -3.27 eV per atom.

abc: 8.285 8.285 8.285
angles: 101.41 101.41 101.41
Element x y z (fractional)
Sr (0.000, 0.000, 0.000)
Tl (0.096, 0.568, 0.335)
Tl (0.335, 0.096, 0.568)
Tl (0.432, 0.665, 0.904)
Tl (0.568, 0.335, 0.096)
Tl (0.665, 0.904, 0.432)
Tl (0.904, 0.432, 0.665)
Cl (0.168, 0.817, 0.725)
Cl (0.183, 0.275, 0.832)
Cl (0.275, 0.275, 0.275)
Cl (0.275, 0.832, 0.183)
Cl (0.725, 0.168, 0.817)
Cl (0.725, 0.725, 0.725)
Cl (0.817, 0.725, 0.168)
Cl (0.832, 0.183, 0.275)

***

Record 8
# Pr5TlAg2

An optimized crystal structure of Pr5TlAg2 (GGA-PBE, the Alexandria database).

Its energy of formation is -202 meV/atom. The raw total energy comes out at -4.20 eV per atom.

abc: 9.037 9.037 9.037
angles: 123.83 123.83 83.48
Element x y z (fractional)
Pr (0.000, 0.000, 0.000)
Pr (0.007, 0.507, 0.811)
Pr (0.196, 0.007, 0.500)
Pr (0.304, 0.804, 0.811)
Pr (0.493, 0.304, 0.500)
Pr (0.500, 0.500, 0.000)
Pr (0.507, 0.696, 0.500)
Pr (0.696, 0.196, 0.189)
Pr (0.804, 0.993, 0.500)
Pr (0.993, 0.493, 0.189)
Tl (0.250, 0.250, 0.000)
Tl (0.750, 0.750, 0.000)
Ag (0.132, 0.368, 0.500)
Ag (0.368, 0.868, 0.236)
Ag (0.632, 0.132, 0.764)
Ag (0.868, 0.632, 0.500)